1.
DFT (GGA-PBE) results for a relaxed structure of NbIrN2O.

Geometry as CIF:
```
data_NbIrN2O
_space_group_name_H-M_alt 'P 1'
_space_group_IT_number 1
_cell_length_a 3.874
_cell_length_b 3.874
_cell_length_c 3.857
_cell_angle_alpha 90.00
_cell_angle_beta 90.00
_cell_angle_gamma 90.00
loop_
_space_group_symop_operation_xyz
'x,y,z'
loop_
_atom_site_label
_atom_site_fract_x
_atom_site_fract_y
_atom_site_fract_z
N1 0.000 0.500 0.000
Nb1 0.500 0.500 0.500
N2 0.500 0.000 0.000
Ir1 0.000 0.000 0.000
O1 0.000 0.000 0.500
```

## Properties
DOS at the Fermi energy (states/eV/atom): 0.625
Uncorrected formation energy (meV per atom): 671
Symmetry: P4/mmm



2.
DFT (GGA-PBE) results for a relaxed structure of NbIrN2O.

Geometry as CIF:
```
data_NbIrN2O
_space_group_name_H-M_alt 'P 1'
_space_group_IT_number 1
_cell_length_a 4.113
_cell_length_b 4.113
_cell_length_c 3.864
_cell_angle_alpha 90.00
_cell_angle_beta 90.00
_cell_angle_gamma 90.00
loop_
_space_group_symop_operation_xyz
'x,y,z'
loop_
_atom_site_label
_atom_site_fract_x
_atom_site_fract_y
_atom_site_fract_z
Nb1 0.000 0.000 0.000
N1 0.000 0.500 0.000
O1 0.000 0.000 0.500
Ir1 0.500 0.500 0.500
N2 0.500 0.000 0.000
```

## Properties
DOS at the Fermi energy (states/eV/atom): 0.807
Uncorrected formation energy (meV per atom): 647
Symmetry: P4/mmm



3.
DFT (GGA-PBE) results for a relaxed structure of NbIr2PtN.

Geometry as CIF:
```
data_NbIr2PtN
_space_group_name_H-M_alt 'P 1'
_space_group_IT_number 1
_cell_length_a 4.075
_cell_length_b 4.351
_cell_length_c 4.075
_cell_angle_alpha 90.00
_cell_angle_beta 90.00
_cell_angle_gamma 90.00
loop_
_space_group_symop_operation_xyz
'x,y,z'
loop_
_atom_site_label
_atom_site_fract_x
_atom_site_fract_y
_atom_site_fract_z
Ir1 0.500 0.000 0.000
Ir2 0.000 0.000 0.500
N1 0.000 0.000 0.000
Nb1 0.500 0.500 0.500
Pt1 0.000 0.500 0.000
```

## Properties
DOS at the Fermi energy (states/eV/atom): 1.585
Uncorrected formation energy (meV per atom): 468
Symmetry: P4/mmm



4.
DFT (GGA-PBE) results for a relaxed structure of NbReIr2N.

Geometry as CIF:
```
data_NbReIr2N
_space_group_name_H-M_alt 'P 1'
_space_group_IT_number 1
_cell_length_a 4.710
_cell_length_b 4.946
_cell_length_c 4.710
_cell_angle_alpha 90.00
_cell_angle_beta 90.00
_cell_angle_gamma 90.00
loop_
_space_group_symop_operation_xyz
'x,y,z'
loop_
_atom_site_label
_atom_site_fract_x
_atom_site_fract_y
_atom_site_fract_z
Ir1 0.500 0.000 0.000
N1 0.500 0.500 0.500
Re1 0.000 0.000 0.000
Nb1 0.000 0.500 0.000
Ir2 0.000 0.000 0.500
```

## Properties
DOS at the Fermi energy (states/eV/atom): 1.239
Relative energy among the computed polymorphs (meV per atom): 0
Uncorrected formation energy (meV per atom): 2524
Symmetry: P4/mmm



5.
DFT (GGA-PBE) results for a relaxed structure of NbReIr2N.

Geometry as CIF:
```
data_NbReIr2N
_space_group_name_H-M_alt 'P 1'
_space_group_IT_number 1
_cell_length_a 4.793
_cell_length_b 4.829
_cell_length_c 4.793
_cell_angle_alpha 90.00
_cell_angle_beta 90.00
_cell_angle_gamma 90.00
loop_
_space_group_symop_operation_xyz
'x,y,z'
loop_
_atom_site_label
_atom_site_fract_x
_atom_site_fract_y
_atom_site_fract_z
Nb1 0.000 0.000 0.000
Ir1 0.000 0.000 0.500
Ir2 0.500 0.000 0.000
Re1 0.000 0.500 0.000
N1 0.500 0.500 0.500
```

## Properties
DOS at the Fermi energy (states/eV/atom): 1.968
Relative energy among the computed polymorphs (meV per atom): 599
Uncorrected formation energy (meV per atom): 3123
Symmetry: P4/mmm



6.
DFT (GGA-PBE) results for a relaxed structure of NbSbIrN2.

Geometry as CIF:
```
data_NbSbIrN2
_space_group_name_H-M_alt 'P 1'
_space_group_IT_number 1
_cell_length_a 3.914
_cell_length_b 5.823
_cell_length_c 3.914
_cell_angle_alpha 90.00
_cell_angle_beta 90.00
_cell_angle_gamma 90.00
loop_
_space_group_symop_operation_xyz
'x,y,z'
loop_
_atom_site_label
_atom_site_fract_x
_atom_site_fract_y
_atom_site_fract_z
N1 0.500 0.000 0.000
Sb1 0.000 0.000 0.000
N2 0.000 0.000 0.500
Nb1 0.000 0.500 0.000
Ir1 0.500 0.500 0.500
```

## Properties
DOS at the Fermi energy (states/eV/atom): 0.992
Uncorrected formation energy (meV per atom): 1901
Symmetry: P4/mmm